# PBE Er3Sn2C, relaxed
data_Er3Sn2C
_chemical_formula_sum 'Er12 Sn8 C4'
_cell_length_a 8.288
_cell_length_b 11.208
_cell_length_c 6.518
_cell_angle_alpha 90.00
_cell_angle_beta 106.30
_cell_angle_gamma 90.00
_symmetry_space_group_name_H-M 'C 1 2/c 1'
_symmetry_Int_Tables_number 15
_symmetry_space_group_name_Hall '-C 2yc'
loop_
_atom_site_label
_atom_site_fract_x
_atom_site_fract_y
_atom_site_fract_z
Er1 0.163 0.074 0.493
Er2 0.250 0.250 0.000
Sn1 0.000 0.300 0.250
Sn2 0.000 0.439 0.750
C1 0.000 0.072 0.750
# Total energy: -5.560 eV/atom
# ΔH_f (0 K): -407 meV per atom
# Size of the total moment: 0.00 μB per cell